1.
This record from Alexandria describes a relaxed structure of KLaWSe2. The functional is PBE-GGA.

abc: 5.557 5.557 5.067
angles: 90.00 90.00 90.00
Atoms (fractional coordinates):
K 0.000 0.000 0.000
La 0.500 0.500 0.500
W 0.000 0.000 0.500
Se 0.000 0.500 0.000
Se 0.500 0.000 0.000

Formation energy (no corrections) in eV/atom: 1.134


2.
This record from Alexandria describes a relaxed structure of KLaY4Se8. The functional is PBE-GGA.

abc: 8.760 8.760 8.760
angles: 58.60 58.60 58.60
Atoms (fractional coordinates):
K 0.000 0.000 0.000
La 0.634 0.634 0.634
Y 0.116 0.634 0.634
Y 0.256 0.256 0.256
Y 0.634 0.116 0.634
Y 0.634 0.634 0.116
Se 0.381 0.381 0.861
Se 0.381 0.861 0.381
Se 0.387 0.387 0.387
Se 0.423 0.871 0.871
Se 0.861 0.381 0.381
Se 0.863 0.863 0.863
Se 0.871 0.423 0.871
Se 0.871 0.871 0.423

Formation energy (no corrections) in eV/atom: -1.780


3.
This record from Alexandria describes a relaxed structure of K3La2YSe6. The functional is PBE-GGA.

abc: 7.566 7.566 8.091
angles: 98.98 98.98 120.01
Atoms (fractional coordinates):
K 0.000 0.000 0.000
K 0.332 0.668 0.000
K 0.668 0.332 0.000
La 0.167 0.833 0.500
La 0.833 0.167 0.500
Y 0.500 0.500 0.500
Se 0.108 0.430 0.290
Se 0.248 0.248 0.709
Se 0.430 0.108 0.290
Se 0.570 0.892 0.710
Se 0.752 0.752 0.291
Se 0.892 0.570 0.710

Formation energy (no corrections) in eV/atom: -1.808


4.
This record from Alexandria describes a relaxed structure of K3La3YSe8. The functional is PBE-GGA.

abc: 9.256 9.256 9.256
angles: 56.61 56.61 56.61
Atoms (fractional coordinates):
K 0.000 0.500 0.500
K 0.500 0.000 0.500
K 0.500 0.500 0.000
La 0.000 0.000 0.500
La 0.000 0.500 0.000
La 0.500 0.000 0.000
Y 0.500 0.500 0.500
Se 0.238 0.238 0.238
Se 0.247 0.728 0.728
Se 0.272 0.272 0.753
Se 0.272 0.753 0.272
Se 0.728 0.247 0.728
Se 0.728 0.728 0.247
Se 0.753 0.272 0.272
Se 0.762 0.762 0.762

Formation energy (no corrections) in eV/atom: -1.718


These records have total moment values of 0.99; 0.00; 0.00; 0.00 μB per atom, in the order they appear.